Record 1
Compound: SnIr2Au2
Source: Alexandria via LeMat-Bulk
Functional: PBE
Structure: optimized geometry

Properties
- ρ: 16.09 g cm⁻³
- V: 185.1 Å³ per cell
- Energy: -5.451 eV/atom
- Energy relative to the elements: 204.5 meV per atom
- Polymorph energy (0 for the lowest one): 0 meV per atom

Cell lengths 6.7026, 6.7026, 4.1208 Å; angles 90.00, 90.00, 90.00 degrees
Sites, in units of the cell vectors:
Ir 0.3658 0.8658 0.0000
Ir 0.8658 0.6342 0.0000
Ir 0.6342 0.1342 0.0000
Ir 0.1342 0.3658 0.0000
Au 0.1671 0.6671 0.5000
Au 0.6671 0.8329 0.5000
Au 0.8329 0.3329 0.5000
Au 0.3329 0.1671 0.5000
Sn 0.0000 0.0000 0.0000
Sn 0.5000 0.5000 0.0000



Record 2
Compound: Y6ErTm2Sc
Source: Alexandria via LeMat-Bulk
Functional: PBE
Structure: optimized geometry

Properties
- ρ: 5.76 g cm⁻³
- V: 624.3 Å³ per cell
- Energy: -5.735 eV/atom
- Energy relative to the elements: 127.6 meV per atom

Cell lengths 9.4433, 8.6525, 8.6525 Å; angles 116.92, 94.18, 94.18 degrees
Sites, in units of the cell vectors:
Y 0.0548 0.1227 0.7550
Y 0.4452 0.2450 0.8773
Y 0.9452 0.8773 0.2450
Y 0.5548 0.7550 0.1227
Y 0.3122 0.9956 0.4360
Y 0.1878 0.5640 0.0044
Y 0.6878 0.0044 0.5640
Y 0.8122 0.4360 0.9956
Y 0.1151 0.7052 0.4939
Y 0.3849 0.5061 0.2948
Y 0.8849 0.2948 0.5061
Y 0.6151 0.4939 0.7052
Er 0.2500 0.9769 0.0231
Er 0.7500 0.0231 0.9769
Tm 0.4511 0.8005 0.7000
Tm 0.0489 0.3000 0.1995
Tm 0.5489 0.1995 0.3000
Tm 0.9511 0.7000 0.8005
Sc 0.2500 0.4124 0.5876
Sc 0.7500 0.5876 0.4124



Record 3
Compound: TbErBeIr
Source: Alexandria via LeMat-Bulk
Functional: PBE
Structure: optimized geometry

Properties
- ρ: 10.96 g cm⁻³
- V: 79.9 Å³ per cell
- Energy: -5.860 eV/atom
- Energy relative to the elements: -414.7 meV per atom

Cell lengths 4.8345, 4.8345, 4.8345 Å; angles 60.00, 60.00, 60.00 degrees
Sites, in units of the cell vectors:
Be 0.2500 0.2500 0.2500
Ir 0.7500 0.7500 0.7500
Tb 0.5000 0.5000 0.5000
Er 0.0000 0.0000 0.0000



Record 4
Compound: K2AuCl
Source: Alexandria via LeMat-Bulk
Functional: PBE
Structure: optimized geometry

Properties
- ρ: 3.61 g cm⁻³
- V: 142.9 Å³ per cell
- Energy: -2.928 eV/atom
- Energy relative to the elements, uncorrected: -1.098 eV/atom
- Polymorph energy (0 for the lowest one): 25 meV per atom

Cell lengths 4.6134, 4.6134, 8.2079 Å; angles 73.78, 73.78, 59.78 degrees
Sites, in units of the cell vectors:
K 0.9933 0.9933 0.0186
K 0.5067 0.5067 0.4814
Au 0.7500 0.7500 0.7500
Cl 0.2500 0.2500 0.2500



Record 5
Compound: CdIn2Ag
Source: Alexandria via LeMat-Bulk
Functional: PBE
Structure: optimized geometry

Properties
- ρ: 8.17 g cm⁻³
- V: 91.5 Å³ per cell
- Energy: -2.265 eV/atom
- Energy relative to the elements: 46.1 meV per atom

Cell lengths 5.5423, 5.5423, 5.5423 Å; angles 132.24, 132.24, 69.84 degrees
Sites, in units of the cell vectors:
Cd 0.7500 0.2500 0.5000
Ag 0.2500 0.7500 0.5000
In 0.0000 0.0000 0.0000
In 0.5000 0.5000 0.0000



Record 6
Compound: RbTe2Se2S6
Source: Alexandria via LeMat-Bulk
Functional: PBE
Structure: optimized geometry

Properties
- ρ: 2.91 g cm⁻³
- V: 394.6 Å³ per cell
- Energy: -3.623 eV/atom
- Energy relative to the elements, uncorrected: -0.079 eV/atom

Cell lengths 8.3288, 9.2419, 7.6143 Å; angles 113.22, 104.84, 47.11 degrees
Sites, in units of the cell vectors:
Rb 0.5000 0.0000 0.5000
Te 0.7970 0.4619 0.8947
Te 0.2030 0.5381 0.1053
Se 0.2677 0.5546 0.7125
Se 0.7323 0.4454 0.2875
S 0.3764 0.7349 0.8736
S 0.2415 0.2381 0.9488
S 0.0748 0.6721 0.4692
S 0.7585 0.7619 0.0512
S 0.9252 0.3279 0.5308
S 0.6236 0.2651 0.1264



Record 7
Compound: ZrTeI2F
Source: Alexandria via LeMat-Bulk
Functional: PBE
Structure: optimized geometry

Properties
- ρ: 4.52 g cm⁻³
- V: 180.5 Å³ per cell
- Energy: -3.835 eV/atom
- Energy relative to the elements, uncorrected: -0.502 eV/atom
- Polymorph energy (0 for the lowest one): 0 meV per atom

Cell lengths 5.6858, 5.6858, 5.5823 Å; angles 90.00, 90.00, 90.00 degrees
Sites, in units of the cell vectors:
I 0.0000 0.5000 0.0000
I 0.5000 0.0000 0.0000
Te 0.0000 0.0000 0.5000
Zr 0.0000 0.0000 0.0000
F 0.5000 0.5000 0.5000



Record 8
Compound: Ac7Pd2Pt2
Source: Alexandria via LeMat-Bulk
Functional: PBE
Structure: optimized geometry

Properties
- ρ: 9.96 g cm⁻³
- V: 365.5 Å³ per cell
- Energy: -5.372 eV/atom
- Energy relative to the elements: -714.6 meV per atom

Cell lengths 4.1849, 10.1225, 10.1225 Å; angles 61.43, 78.07, 78.07 degrees
Sites, in units of the cell vectors:
Ac 0.8068 0.0943 0.2921
Ac 0.8809 0.3781 0.8600
Ac 0.5000 0.9778 0.0222
Ac 0.6105 0.4996 0.2794
Ac 0.3895 0.7206 0.5004
Ac 0.1932 0.7079 0.9057
Ac 0.1191 0.1400 0.6219
Pd 0.7397 0.8693 0.6514
Pd 0.2603 0.3486 0.1307
Pt 0.0000 0.7618 0.2382
Pt 0.5000 0.3557 0.6443



Record 9
Compound: AlSi2Te
Source: Alexandria via LeMat-Bulk
Functional: PBE
Structure: optimized geometry

Properties
- ρ: 4.52 g cm⁻³
- V: 77.4 Å³ per cell
- Energy: -3.921 eV/atom
- Energy relative to the elements, uncorrected: 0.511 eV/atom
- Polymorph energy (0 for the lowest one): 377 meV per atom

Cell lengths 4.7864, 4.7864, 3.3771 Å; angles 90.00, 90.00, 90.00 degrees
Sites, in units of the cell vectors:
Si 0.0000 0.0000 0.0000
Si 0.5000 0.5000 0.0000
Te 0.5000 0.0000 0.5000
Al 0.0000 0.5000 0.5000



Record 10
Compound: KBeCd2In
Source: Alexandria via LeMat-Bulk
Functional: PBE
Structure: optimized geometry

Properties
- ρ: 5.05 g cm⁻³
- V: 127.5 Å³ per cell
- Energy: -1.730 eV/atom
- Energy relative to the elements: 148.9 meV per atom

Cell lengths 5.0146, 5.0146, 5.0689 Å; angles 90.00, 90.00, 90.00 degrees
Sites, in units of the cell vectors:
Be 0.0000 0.0000 0.0000
K 0.5000 0.5000 0.5000
Cd 0.0000 0.5000 0.0000
Cd 0.5000 0.0000 0.0000
In 0.0000 0.0000 0.5000



Record 11
Compound: K2CuAu
Source: Alexandria via LeMat-Bulk
Functional: PBE
Structure: optimized geometry

Properties
- ρ: 4.42 g cm⁻³
- V: 127.2 Å³ per cell
- Energy: -2.298 eV/atom
- Energy relative to the elements: 94.2 meV per atom
- Polymorph energy (0 for the lowest one): 154 meV per atom

Cell lengths 8.9134, 5.6257, 4.0187 Å; angles 89.96, 63.26, 129.16 degrees
Sites, in units of the cell vectors:
Au 0.0000 0.5000 0.5000
Cu 0.5000 0.5000 0.0000
K 0.0000 0.0000 0.0000
K 0.5000 0.0000 0.5000



Record 12
Compound: SrHoCdPd
Source: Alexandria via LeMat-Bulk
Functional: PBE
Structure: optimized geometry

Properties
- ρ: 7.56 g cm⁻³
- V: 103.5 Å³ per cell
- Energy: -3.484 eV/atom
- Energy relative to the elements: -392.2 meV per atom

Cell lengths 5.2700, 5.2700, 5.2700 Å; angles 60.00, 60.00, 60.00 degrees
Sites, in units of the cell vectors:
Sr 0.0000 0.0000 0.0000
Ho 0.5000 0.5000 0.5000
Pd 0.2500 0.2500 0.2500
Cd 0.7500 0.7500 0.7500



Record 13
Compound: CaPmIn
Source: Alexandria via LeMat-Bulk
Functional: PBE
Structure: optimized geometry

Properties
- ρ: 5.15 g cm⁻³
- V: 96.6 Å³ per cell
- Energy: -3.451 eV/atom
- Energy relative to the elements: -287.9 meV per atom
- Polymorph energy (0 for the lowest one): 132 meV per atom

Cell lengths 3.7143, 3.7143, 7.4818 Å; angles 104.37, 104.37, 90.00 degrees
Sites, in units of the cell vectors:
Ca 0.9289 0.9289 0.8578
In 0.2811 0.2811 0.5623
Pm 0.6400 0.6400 0.2799



Record 14
Compound: Pr2Pa2Te2S5
Source: Alexandria via LeMat-Bulk
Functional: PBE
Structure: optimized geometry

Properties
- ρ: 5.39 g cm⁻³
- V: 357.4 Å³ per cell
- Energy: -6.564 eV/atom
- Energy relative to the elements, uncorrected: -1.521 eV/atom

Cell lengths 5.2267, 5.2267, 13.5952 Å; angles 101.08, 101.08, 90.00 degrees
Sites, in units of the cell vectors:
Pr 0.3360 0.3360 0.6720
Pr 0.6640 0.6640 0.3280
Pa 0.0992 0.0992 0.1985
Pa 0.9008 0.9008 0.8015
Te 0.2143 0.2143 0.4286
Te 0.7857 0.7857 0.5714
S 0.0000 0.0000 0.0000
S 0.6106 0.1106 0.2212
S 0.8894 0.3894 0.7788
S 0.1106 0.6106 0.2212
S 0.3894 0.8894 0.7788



Record 15
Compound: Th2PaBi
Source: Alexandria via LeMat-Bulk
Functional: PBE
Structure: optimized geometry

Properties
- ρ: 12.66 g cm⁻³
- V: 118.5 Å³ per cell
- Energy: -7.144 eV/atom
- Energy relative to the elements: -90.2 meV per atom
- Polymorph energy (0 for the lowest one): 0 meV per atom

Cell lengths 3.5625, 5.7685, 5.7685 Å; angles 90.00, 90.00, 90.00 degrees
Sites, in units of the cell vectors:
Pa 0.5000 0.0000 0.0000
Bi 0.5000 0.5000 0.5000
Th 0.0000 0.0000 0.5000
Th 0.0000 0.5000 0.0000



Record 16
Compound: Cs2AgHg2
Source: Alexandria via LeMat-Bulk
Functional: PBE
Structure: optimized geometry

Properties
- ρ: 6.20 g cm⁻³
- V: 415.1 Å³ per cell
- Energy: -1.127 eV/atom
- Energy relative to the elements: -94.2 meV per atom
- Polymorph energy (0 for the lowest one): 72 meV per atom

Cell lengths 8.5264, 8.5264, 5.7095 Å; angles 90.00, 90.00, 90.00 degrees
Sites, in units of the cell vectors:
Cs 0.1792 0.6792 0.5000
Cs 0.6792 0.8208 0.5000
Cs 0.8208 0.3208 0.5000
Cs 0.3208 0.1792 0.5000
Hg 0.3679 0.8679 0.0000
Hg 0.8679 0.6321 0.0000
Hg 0.6321 0.1321 0.0000
Hg 0.1321 0.3679 0.0000
Ag 0.0000 0.0000 0.0000
Ag 0.5000 0.5000 0.0000



Record 17
Compound: HfPIr2Pb
Source: Alexandria via LeMat-Bulk
Functional: PBE
Structure: optimized geometry

Properties
- ρ: 13.58 g cm⁻³
- V: 98.0 Å³ per cell
- Energy: -7.266 eV/atom
- Energy relative to the elements: 92.9 meV per atom

Cell lengths 4.4656, 4.9120, 4.4656 Å; angles 90.00, 90.00, 90.00 degrees
Sites, in units of the cell vectors:
Pb 0.5000 0.5000 0.5000
P 0.0000 0.0000 0.0000
Ir 0.0000 0.0000 0.5000
Ir 0.5000 0.0000 0.0000
Hf 0.0000 0.5000 0.0000



Record 18
Compound: Zr2In2Pb
Source: Alexandria via LeMat-Bulk
Functional: PBE
Structure: optimized geometry

Properties
- ρ: 8.15 g cm⁻³
- V: 252.2 Å³ per cell
- Energy: -5.356 eV/atom
- Energy relative to the elements: -99.2 meV per atom
- Polymorph energy (0 for the lowest one): 0 meV per atom

Cell lengths 7.5939, 7.5939, 4.3737 Å; angles 90.00, 90.00, 90.00 degrees
Sites, in units of the cell vectors:
Pb 0.0000 0.0000 0.0000
Pb 0.5000 0.5000 0.0000
Zr 0.3495 0.8495 0.0000
Zr 0.8495 0.6505 0.0000
Zr 0.6505 0.1505 0.0000
Zr 0.1505 0.3495 0.0000
In 0.1498 0.6498 0.5000
In 0.6498 0.8502 0.5000
In 0.8502 0.3502 0.5000
In 0.3502 0.1498 0.5000



Record 19
Compound: La2P2Rh
Source: Alexandria via LeMat-Bulk
Functional: PBE
Structure: optimized geometry

Properties
- ρ: 6.78 g cm⁻³
- V: 216.7 Å³ per cell
- Energy: -6.661 eV/atom
- Energy relative to the elements: -1055.5 meV per atom
- Polymorph energy (0 for the lowest one): 0 meV per atom

Cell lengths 7.1565, 7.1565, 4.2309 Å; angles 90.00, 90.00, 90.00 degrees
Sites, in units of the cell vectors:
P 0.3410 0.8410 0.0000
P 0.8410 0.6590 0.0000
P 0.6590 0.1590 0.0000
P 0.1590 0.3410 0.0000
Rh 0.0000 0.0000 0.0000
Rh 0.5000 0.5000 0.0000
La 0.1558 0.6558 0.5000
La 0.6558 0.8442 0.5000
La 0.8442 0.3442 0.5000
La 0.3442 0.1558 0.5000



Record 20
Compound: UTa4Os5
Source: Alexandria via LeMat-Bulk
Functional: PBE
Structure: optimized geometry

Properties
- ρ: 18.93 g cm⁻³
- V: 167.8 Å³ per cell
- Energy: -11.742 eV/atom
- Energy relative to the elements: -257.7 meV per atom

Cell lengths 3.0922, 3.0922, 17.5471 Å; angles 90.00, 90.00, 90.00 degrees
Sites, in units of the cell vectors:
U 0.0000 0.0000 0.0000
Ta 0.0000 0.0000 0.2082
Ta 0.0000 0.0000 0.4028
Ta 0.0000 0.0000 0.5972
Ta 0.0000 0.0000 0.7918
Os 0.5000 0.5000 0.1182
Os 0.5000 0.5000 0.3052
Os 0.5000 0.5000 0.5000
Os 0.5000 0.5000 0.6948
Os 0.5000 0.5000 0.8818